No. 1
Computed, not measured: an optimized crystal structure of Dy4Hg at the PBE level of DFT.

Cell lengths 5.649, 5.649, 5.649 Å; angles 90.00, 90.00, 90.00 degrees
Fractional coordinates of all 5 atoms:
Dy  0.000  0.000  0.000
Dy  0.000  0.500  0.500
Dy  0.500  0.000  0.500
Dy  0.500  0.500  0.000
Hg  0.500  0.500  0.500

Output
formation enthalpy at 0 K	0.28	eV/atom
uncorrected energy	-3.46	eV per atom
spin magnetization	0.00	μB/cell
offset from the most stable computed form	0.4592	eV/atom
calculated density	7.83	g cm⁻³

---

No. 2
Computed, not measured: an optimized crystal structure of Dy2Hg3 at the PBE level of DFT.

Cell lengths 6.621, 6.621, 6.621 Å; angles 43.87, 43.87, 43.87 degrees
Fractional coordinates of all 5 atoms:
Dy  0.097  0.097  0.097
Dy  0.903  0.903  0.903
Hg  0.303  0.303  0.303
Hg  0.500  0.500  0.500
Hg  0.697  0.697  0.697

Output
formation enthalpy at 0 K	-0.38	eV/atom
uncorrected energy	-2.41	eV per atom
spin magnetization	0.00	μB/cell
offset from the most stable computed form	0.0372	eV/atom
calculated density	12.16	g cm⁻³

---

No. 3
Computed, not measured: an optimized crystal structure of Dy4Hg at the PBE level of DFT.

Cell lengths 8.722, 8.722, 8.722 Å; angles 136.66, 136.66, 62.96 degrees
Fractional coordinates of all 10 atoms:
Dy  0.156  0.796  0.860
Dy  0.204  0.344  0.140
Dy  0.296  0.936  0.640
Dy  0.436  0.296  0.640
Dy  0.564  0.704  0.360
Dy  0.704  0.064  0.360
Dy  0.796  0.656  0.860
Dy  0.844  0.204  0.140
Hg  0.125  0.375  0.750
Hg  0.875  0.625  0.250

Output
formation enthalpy at 0 K	-0.07	eV/atom
uncorrected energy	-3.81	eV per atom
spin magnetization	0.00	μB/cell
offset from the most stable computed form	0.1046	eV/atom
calculated density	9.15	g cm⁻³